Below is Li3FeF7 after structural relaxation, with properties calculated at the GGA+U level.

Results
N(E_F) (states/eV/atom): 0.700
Energy (eV/cell): -152.71
Magnetization (μB per atom): 0.552

Lattice parameters (Å, degrees): 7.3695 7.3695 8.2563 90.00 90.00 120.00
Space group R3m (No. 160, hexagonal axes)
Symmetry-distinct sites (fractional):
Li (0.0485, 0.5242, 0.0000) (multiplicity 9)
Fe (0.0000, 0.0000, 0.0165) (multiplicity 3)
F (0.0000, 0.0000, 0.2640) (multiplicity 3)
F (0.0234, 0.5117, 0.7559) (multiplicity 9)
F (0.2093, 0.4185, 0.5383) (multiplicity 9)